BaHo2Se4 after structural relaxation, computed with PBE-GGA.

Unit cell a=4.1924 b=13.6512 c=14.2197 alpha=90.00 beta=90.00 gamma=90.00
Space group Cmcm (No. 63)
Unique sites:
1 Ba 0.0000 0.1098 0.2500 [4 per cell]
2 Ho 0.0000 0.3652 0.0665 [8 per cell]
3 Se 0.0000 0.0000 0.0000 [4 per cell]
4 Se 0.0000 0.2673 0.6111 [8 per cell]
5 Se 0.0000 0.4332 0.2500 [4 per cell]

* total moment: 0.000 μB/atom
* volume: 29.1 Å³ per atom
* electronic total energy: -5.53 eV per atom